1.
VASP calculation (PBE-GGA) on crystalline NaBeB at its relaxed geometry.

Values from the calculation:
final energy: -3.663 eV/atom
crystal system: monoclinic

Cell: 5.464 3.101 10.866 Å, 90.00 119.43 90.00°
Element x y z (fractional)
B  0.491  0.000  0.278
B  0.509  0.500  0.222
Na  0.061  0.000  0.387
B  0.509  0.000  0.722
Be  0.503  0.000  0.897
Na  0.061  0.500  0.887
Be  0.497  0.500  0.603
Be  0.497  0.000  0.103
Be  0.503  0.500  0.397
Na  0.939  0.500  0.113
Na  0.939  0.000  0.613
B  0.491  0.500  0.778

---

2.
VASP calculation (PBE-GGA) on crystalline NaBeB at its relaxed geometry.

Values from the calculation:
final energy: -3.758 eV/atom
crystal system: monoclinic

Cell: 8.722 3.674 6.503 Å, 90.00 111.19 90.00°
Element x y z (fractional)
Na  0.679  0.000  0.249
Be  0.961  0.000  0.731
Na  0.679  0.500  0.749
B  0.000  0.250  0.500
B  0.000  0.750  0.000
Be  0.039  0.000  0.269
Be  0.039  0.500  0.769
Na  0.321  0.500  0.251
Na  0.321  0.000  0.751
B  0.000  0.250  0.000
B  0.000  0.750  0.500
Be  0.961  0.500  0.231

---

3.
VASP calculation (PBE-GGA) on crystalline NaBeB at its relaxed geometry.

Values from the calculation:
final energy: -3.741 eV/atom
crystal system: monoclinic

Cell: 3.280 3.696 8.191 Å, 90.00 101.23 90.00°
Element x y z (fractional)
B  0.208  0.750  0.547
Na  0.039  0.000  0.221
B  0.208  0.250  0.547
Be  0.721  0.000  0.574
Na  0.368  0.500  0.873
Be  0.695  0.500  0.520